{"formula": "TlI2N", "functional": "GGA-PBE", "state": "optimized geometry", "cell": [[7.3329, 0.0000, 0.0000], [0.0000, 7.3329, 0.0000], [0.0000, 0.0000, 10.3839]], "species": ["Tl", "Tl", "Tl", "Tl", "I", "I", "I", "I", "I", "I", "I", "I", "N", "N", "N", "N"], "fractional_positions": [[0.0000, 0.0000, 0.0000], [0.0000, 0.5000, 0.2500], [0.5000, 0.0000, 0.7500], [0.5000, 0.5000, 0.5000], [0.0007, 0.2500, 0.6250], [0.2500, 0.5007, 0.8750], [0.2500, 0.9993, 0.3750], [0.4993, 0.2500, 0.1250], [0.5007, 0.7500, 0.1250], [0.7500, 0.0007, 0.3750], [0.7500, 0.4993, 0.8750], [0.9993, 0.7500, 0.6250], [0.0000, 0.0000, 0.5000], [0.0000, 0.5000, 0.7500], [0.5000, 0.0000, 0.2500], [0.5000, 0.5000, 0.0000]], "e_above_lowest_polymorph_mev_per_atom": 0, "volume_a3_per_atom": 34.9, "sg": "No. 122", "e_form_raw_ev_per_atom": 0.541}

{"formula": "TlI4N2", "functional": "GGA-PBE", "state": "optimized geometry", "cell": [[26.7381, 0.0000, 0.0000], [0.0000, 3.7398, 0.0000], [-0.0336, 0.0000, 4.5871]], "species": ["Tl", "Tl", "I", "I", "I", "I", "I", "I", "I", "I", "N", "N", "N", "N"], "fractional_positions": [[0.0000, 0.0000, 0.0000], [0.5000, 0.5000, 0.0000], [0.0804, 0.5000, 0.5037], [0.2044, 0.0000, 0.8397], [0.2956, 0.5000, 0.1603], [0.4196, 0.0000, 0.4963], [0.5804, 0.0000, 0.5037], [0.7044, 0.5000, 0.8397], [0.7956, 0.0000, 0.1603], [0.9196, 0.5000, 0.4963], [0.2277, 0.0000, 0.2314], [0.2723, 0.5000, 0.7686], [0.7277, 0.5000, 0.2314], [0.7723, 0.0000, 0.7686]], "volume_a3_per_atom": 32.8, "sg": "No. 12", "e_form_raw_ev_per_atom": 0.812}

{"formula": "Tl2I3N", "functional": "GGA-PBE", "state": "optimized geometry", "cell": [[7.6057, -3.3299, 0.0000], [7.6057, 3.3299, 0.0000], [-2.4676, 0.0000, 9.0313]], "species": ["Tl", "Tl", "Tl", "Tl", "I", "I", "I", "I", "I", "I", "N", "N"], "fractional_positions": [[0.0182, 0.0182, 0.2860], [0.3196, 0.3196, 0.8620], [0.6804, 0.6804, 0.1380], [0.9818, 0.9818, 0.7140], [0.1455, 0.1455, 0.0389], [0.3019, 0.3019, 0.4469], [0.4676, 0.4676, 0.2245], [0.5324, 0.5324, 0.7755], [0.6981, 0.6981, 0.5531], [0.8545, 0.8545, 0.9611], [0.2202, 0.2202, 0.5760], [0.7798, 0.7798, 0.4240]], "volume_a3_per_atom": 38.1, "sg": "No. 12", "e_form_raw_ev_per_atom": 0.204}

{"formula": "Tl3IN", "functional": "GGA-PBE", "state": "optimized geometry", "cell": [[5.3342, 0.0000, 0.0000], [0.0000, 5.3342, 0.0000], [0.0000, 0.0000, 5.3342]], "species": ["Tl", "Tl", "Tl", "I", "N"], "fractional_positions": [[0.0000, 0.0000, 0.5000], [0.0000, 0.5000, 0.0000], [0.5000, 0.0000, 0.0000], [0.5000, 0.5000, 0.5000], [0.0000, 0.0000, 0.0000]], "e_above_lowest_polymorph_mev_per_atom": 0, "volume_a3_per_atom": 30.4, "sg": "No. 221", "e_form_raw_ev_per_atom": 0.352}

{"formula": "TlI2N", "functional": "GGA-PBE", "state": "optimized geometry", "cell": [[8.0956, 0.0000, 0.0000], [0.0000, 8.0956, 0.0000], [0.0000, 0.0000, 8.0956]], "species": ["Tl", "Tl", "Tl", "Tl", "I", "I", "I", "I", "I", "I", "I", "I", "N", "N", "N", "N"], "fractional_positions": [[0.0000, 0.0000, 0.0000], [0.0000, 0.5000, 0.5000], [0.5000, 0.0000, 0.5000], [0.5000, 0.5000, 0.0000], [0.2500, 0.2500, 0.2500], [0.2500, 0.2500, 0.7500], [0.2500, 0.7500, 0.2500], [0.2500, 0.7500, 0.7500], [0.7500, 0.2500, 0.2500], [0.7500, 0.2500, 0.7500], [0.7500, 0.7500, 0.2500], [0.7500, 0.7500, 0.7500], [0.0000, 0.0000, 0.5000], [0.0000, 0.5000, 0.0000], [0.5000, 0.0000, 0.0000], [0.5000, 0.5000, 0.5000]], "e_above_lowest_polymorph_mev_per_atom": 575, "volume_a3_per_atom": 33.2, "sg": "No. 225", "e_form_raw_ev_per_atom": 1.116}

{"formula": "TlVIN2", "functional": "GGA-PBE", "state": "optimized geometry", "cell": [[4.0785, 0.0000, 0.0000], [0.0000, 4.0785, 0.0000], [0.0000, 0.0000, 5.5761]], "species": ["Tl", "V", "I", "N", "N"], "fractional_positions": [[0.0000, 0.0000, 0.0000], [0.5000, 0.5000, 0.5000], [0.5000, 0.5000, 0.0000], [0.0000, 0.5000, 0.5000], [0.5000, 0.0000, 0.5000]], "e_above_lowest_polymorph_mev_per_atom": 0, "volume_a3_per_atom": 18.6, "sg": "No. 123", "e_form_raw_ev_per_atom": 0.663}